i:
## HgSbAu2 (meta-GGA SCAN)

Data for a crystal of HgSbAu2 relaxed with PBEsol.

Calculated values
The value obtained for the density of states at the Fermi level is 1.65 states/eV per cell. The calculated volume is 22.38 Å³ per atom. The magnetic moment comes out at 0.00 μB per formula unit.

a = 3.8772 Å, b = 3.8772 Å, c = 7.2325 Å
α = 74.45°, β = 74.45°, γ = 60.00°
Last column: nearest neighbours and their distance in Å.
Sites, in units of the cell vectors:
Hg  0.4928  0.4928  0.5217  3 Au 2.80, 3 Sb 3.05
Au  0.7448  0.7448  0.7656  3 Au 2.73, 3 Hg 2.80
Au  0.0026  0.0026  0.9922  3 Au 2.73, 3 Sb 2.73
Sb  0.2598  0.2598  0.2205  3 Au 2.73, 3 Hg 3.05

ii:
## HgSbAu2 (meta-GGA SCAN)

Data for a crystal of HgSbAu2 relaxed with PBEsol.

Calculated values
The value obtained for the density of states at the Fermi level is 1.72 states/eV per cell. The calculated volume is 22.04 Å³ per atom. The magnetic moment comes out at 0.00 μB per formula unit.

a = 3.7499 Å, b = 4.0357 Å, c = 6.8626 Å
α = 104.59°, β = 90.00°, γ = 117.68°
Last column: nearest neighbours and their distance in Å.
Sites, in units of the cell vectors:
Au  0.2515  0.5031  0.2527  3 Sb 2.80, 3 Hg 2.81-2.83
Au  0.7485  0.4969  0.7473  3 Sb 2.80, 3 Hg 2.81-2.83
Hg  0.5000  0.0000  0.0000  6 Au 2.81-2.83
Sb  0.0000  0.0000  0.5000  6 Au 2.80

Stability check: which of them is most stable? ii.

i:
## Ir2RuPt (meta-GGA SCAN)

Data for a crystal of Ir2RuPt relaxed with PBEsol.

Calculated values
The value obtained for the density of states at the Fermi level is 3.86 states/eV per cell. The calculated volume is 14.07 Å³ per atom. The magnetic moment comes out at 0.00 μB per formula unit.

a = 2.7106 Å, b = 4.6971 Å, c = 4.6885 Å
α = 99.50°, β = 90.00°, γ = 106.77°
Last column: nearest neighbours and their distance in Å.
Sites, in units of the cell vectors:
Ru  0.7468  0.4935  0.2431  7 Ir 2.67-2.75, 3 Pt 2.70-2.74, 2 Ru 2.71
Pt  0.4994  0.9987  0.4983  7 Ir 2.69-2.75, 3 Ru 2.70-2.74, 2 Pt 2.71
Ir  0.2529  0.5057  0.7556  4 Ru 2.67-2.75, 5 Ir 2.70-2.72, 3 Pt 2.70-2.75
Ir  0.0010  0.0020  0.0030  3 Ru 2.67-2.72, 4 Pt 2.69-2.73, 5 Ir 2.70-2.72

ii:
## Ir2RuPt (meta-GGA SCAN)

Data for a crystal of Ir2RuPt relaxed with PBEsol.

Calculated values
The value obtained for the density of states at the Fermi level is 3.66 states/eV per cell. The calculated volume is 14.07 Å³ per atom. The magnetic moment comes out at 0.00 μB per formula unit.

a = 2.7081 Å, b = 3.8246 Å, c = 5.4330 Å
α = 90.00°, β = 90.00°, γ = 90.00°
Last column: nearest neighbours and their distance in Å.
Sites, in units of the cell vectors:
Pt  0.5000  0.5000  0.0000  2 Pt 2.71, 2 Ru 2.72, 8 Ir 2.73
Ir  0.0000  0.0000  0.7421  4 Ir 2.63-2.80, 4 Ru 2.69, 4 Pt 2.73
Ir  0.0000  0.0000  0.2579  4 Ir 2.63-2.80, 4 Ru 2.69, 4 Pt 2.73
Ru  0.5000  0.5000  0.5000  8 Ir 2.69, 2 Ru 2.71, 2 Pt 2.72

Stability check: which of them is most stable? ii.

i:
## IrRu (meta-GGA SCAN)

Data for a crystal of IrRu relaxed with PBEsol.

Calculated values
The value obtained for the density of states at the Fermi level is 2.42 states/eV per cell. The calculated volume is 14.16 Å³ per atom. The magnetic moment comes out at 2.07 μB per formula unit.

a = 3.0483 Å, b = 3.0483 Å, c = 3.0483 Å
α = 90.00°, β = 90.00°, γ = 90.00°
Last column: nearest neighbours and their distance in Å.
Sites, in units of the cell vectors:
Ru  0.5000  0.5000  0.5000  8 Ir 2.64
Ir  0.0000  0.0000  0.0000  8 Ru 2.64

ii:
## IrRu (meta-GGA SCAN)

Data for a crystal of IrRu relaxed with PBEsol.

Calculated values
The value obtained for the density of states at the Fermi level is 4.76 states/eV per cell. The calculated volume is 13.67 Å³ per atom. The magnetic moment comes out at 0.00 μB per formula unit.

a = 2.7054 Å, b = 5.0824 Å, c = 6.3748 Å
α = 103.34°, β = 90.00°, γ = 105.44°
Last column: nearest neighbours and their distance in Å.
Sites, in units of the cell vectors:
Ir  0.3884  0.7768  0.2782  5 Ir 2.65-2.71, 7 Ru 2.66-2.72
Ir  0.3317  0.6634  0.6651  7 Ru 2.63-2.70, 5 Ir 2.65-2.74
Ir  0.0023  0.0046  0.0014  6 Ru 2.64-2.70, 6 Ir 2.67-2.74
Ru  0.0567  0.1135  0.6120  6 Ir 2.63-2.72, 6 Ru 2.65-2.71
Ru  0.7210  0.4421  0.9426  7 Ir 2.64-2.72, 5 Ru 2.68-2.71
Ru  0.6664  0.3329  0.3342  5 Ru 2.65-2.71, 7 Ir 2.66-2.70

Stability check: which of them is most stable? ii.

i:
## MoIr2Os (meta-GGA SCAN)

Data for a crystal of MoIr2Os relaxed with PBEsol.

Calculated values
The value obtained for the density of states at the Fermi level is 1.92 states/eV per cell. The calculated volume is 14.21 Å³ per atom. The magnetic moment comes out at 0.00 μB per formula unit.

a = 2.7290 Å, b = 4.3589 Å, c = 4.7770 Å
α = 90.00°, β = 90.00°, γ = 90.00°
Last column: nearest neighbours and their distance in Å.
Sites, in units of the cell vectors:
Ir  0.0000  0.5000  0.7118  4 Ir 2.70-2.73, 4 Mo 2.70, 4 Os 2.73-2.77
Ir  0.0000  0.0000  0.0457  4 Os 2.68, 4 Ir 2.70-2.73, 4 Mo 2.71-2.79
Mo  0.5000  0.0000  0.5364  2 Os 2.69, 8 Ir 2.70-2.79, 2 Mo 2.73
Os  0.5000  0.5000  0.2061  8 Ir 2.68-2.77, 2 Mo 2.69, 2 Os 2.73

ii:
## MoIr2Os (meta-GGA SCAN)

Data for a crystal of MoIr2Os relaxed with PBEsol.

Calculated values
The value obtained for the density of states at the Fermi level is 2.37 states/eV per cell. The calculated volume is 14.23 Å³ per atom. The magnetic moment comes out at 0.00 μB per formula unit.

a = 3.8328 Å, b = 3.8328 Å, c = 4.7280 Å
α = 113.91°, β = 113.91°, γ = 90.00°
Last column: nearest neighbours and their distance in Å.
Sites, in units of the cell vectors:
Os  0.5000  0.5000  0.0000  4 Mo 2.71, 8 Ir 2.72
Ir  0.2500  0.7500  0.5000  4 Ir 2.71, 4 Os 2.72, 4 Mo 2.72
Ir  0.7500  0.2500  0.5000  4 Ir 2.71, 4 Mo 2.72, 4 Os 2.72
Mo  0.0000  0.0000  0.0000  4 Os 2.71, 8 Ir 2.72

Stability check: which of them is most stable? i.

i:
## Zr2ScFe (meta-GGA SCAN)

Data for a crystal of Zr2ScFe relaxed with PBEsol.

Calculated values
The value obtained for the density of states at the Fermi level is 3.53 states/eV per cell. The calculated volume is 18.00 Å³ per atom. The magnetic moment comes out at 0.00 μB per formula unit.

a = 3.2783 Å, b = 4.6864 Å, c = 4.6864 Å
α = 90.00°, β = 90.00°, γ = 90.00°
Last column: nearest neighbours and their distance in Å.
Sites, in units of the cell vectors:
Sc  0.5000  0.0000  0.0000  8 Zr 2.86
Fe  0.5000  0.5000  0.5000  8 Zr 2.86
Zr  0.0000  0.5000  0.0000  4 Fe 2.86, 4 Sc 2.86
Zr  0.0000  0.0000  0.5000  4 Fe 2.86, 4 Sc 2.86

ii:
## Zr2ScFe (meta-GGA SCAN)

Data for a crystal of Zr2ScFe relaxed with PBEsol.

Calculated values
The value obtained for the density of states at the Fermi level is 2.57 states/eV per cell. The calculated volume is 18.72 Å³ per atom. The magnetic moment comes out at 0.00 μB per formula unit.

a = 3.1384 Å, b = 3.1384 Å, c = 7.6015 Å
α = 90.00°, β = 90.00°, γ = 90.00°
Last column: nearest neighbours and their distance in Å.
Sites, in units of the cell vectors:
Zr  0.5000  0.5000  0.2975  4 Fe 2.67
Zr  0.0000  0.0000  0.0137  8 Zr 3.09-3.14, 4 Sc 3.29
Fe  0.0000  0.0000  0.4939  4 Zr 2.67, 4 Sc 2.69
Sc  0.5000  0.5000  0.6948  4 Fe 2.69

Stability check: which of them is most stable? ii.

i:
## Hg2OsW (meta-GGA SCAN)

Data for a crystal of Hg2OsW relaxed with PBEsol.

Calculated values
The value obtained for the density of states at the Fermi level is 2.89 states/eV per cell. The calculated volume is 17.13 Å³ per atom. The magnetic moment comes out at 0.00 μB per formula unit.

a = 2.8957 Å, b = 4.8698 Å, c = 5.1473 Å
α = 98.16°, β = 90.00°, γ = 107.30°
Last column: nearest neighbours and their distance in Å.
Sites, in units of the cell vectors:
Hg  0.0033  0.0066  0.9937  5 Hg 2.71-2.91, 2 Os 2.83, 3 W 2.92-2.98
Hg  0.2454  0.4908  0.7579  5 Hg 2.71-2.91, 2 W 2.85, 3 Os 2.95-2.97
Os  0.4937  0.9874  0.4626  3 W 2.67-2.74, 5 Hg 2.83-2.97, 2 Os 2.90
W  0.7576  0.5152  0.2858  3 Os 2.67-2.74, 5 Hg 2.85-2.98, 2 W 2.90

ii:
## Hg2OsW (meta-GGA SCAN)

Data for a crystal of Hg2OsW relaxed with PBEsol.

Calculated values
The value obtained for the density of states at the Fermi level is 2.18 states/eV per cell. The calculated volume is 16.99 Å³ per atom. The magnetic moment comes out at 1.70 μB per formula unit.

a = 2.8110 Å, b = 2.8110 Å, c = 8.6024 Å
α = 90.00°, β = 90.00°, γ = 90.00°
Last column: nearest neighbours and their distance in Å.
Sites, in units of the cell vectors:
W  0.5000  0.5000  0.5000  4 W 2.81, 8 Hg 2.96
Os  0.5000  0.5000  0.0000  4 Os 2.81, 8 Hg 2.89
Hg  0.0000  0.0000  0.2444  4 Hg 2.81, 4 Os 2.89, 4 W 2.96
Hg  0.0000  0.0000  0.7556  4 Hg 2.81, 4 Os 2.89, 4 W 2.96

Stability check: which of them is most stable? i.

i:
## Sc2TaAg (meta-GGA SCAN)

Data for a crystal of Sc2TaAg relaxed with PBEsol.

Calculated values
The value obtained for the density of states at the Fermi level is 6.28 states/eV per cell. The calculated volume is 19.12 Å³ per atom. The magnetic moment comes out at 0.02 μB per formula unit.

a = 4.0942 Å, b = 4.0942 Å, c = 5.4031 Å
α = 112.26°, β = 112.26°, γ = 90.00°
Last column: nearest neighbours and their distance in Å.
Sites, in units of the cell vectors:
Sc  0.7500  0.2500  0.5000  4 Ag 2.90, 4 Ta 3.06, 4 Sc 3.06
Sc  0.0000  0.0000  0.0000  4 Ta 2.90, 4 Sc 3.06, 4 Ag 3.06
Ta  0.5000  0.5000  0.0000  8 Sc 2.90-3.06, 4 Ag 3.06
Ag  0.2500  0.7500  0.5000  8 Sc 2.90-3.06, 4 Ta 3.06

ii:
## Sc2TaAg (meta-GGA SCAN)

Data for a crystal of Sc2TaAg relaxed with PBEsol.

Calculated values
The value obtained for the density of states at the Fermi level is 3.62 states/eV per cell. The calculated volume is 19.30 Å³ per atom. The magnetic moment comes out at 0.00 μB per formula unit.

a = 3.0715 Å, b = 3.0715 Å, c = 8.1833 Å
α = 90.00°, β = 90.00°, γ = 90.00°
Last column: nearest neighbours and their distance in Å.
Sites, in units of the cell vectors:
Ag  0.5000  0.5000  0.5000  8 Sc 2.96, 4 Ag 3.07
Sc  0.0000  0.0000  0.7456  4 Ag 2.96, 4 Ta 3.01, 4 Sc 3.07
Sc  0.0000  0.0000  0.2544  4 Ag 2.96, 4 Ta 3.01, 4 Sc 3.07
Ta  0.5000  0.5000  0.0000  8 Sc 3.01, 4 Ta 3.07

Stability check: which of them is most stable? ii.